The following is a DFT calculation (PBE-GGA) of a relaxed DyZrInGa crystal.

abc: 7.1348 7.1348 7.1348
angles: 90.00 90.00 90.00
Fractional coordinates of all 16 atoms:
Dy: 0.0000 0.0000 0.0000
Dy: 0.0000 0.5000 0.5000
Dy: 0.5000 0.0000 0.5000
Dy: 0.5000 0.5000 0.0000
Zr: 0.0000 0.0000 0.5000
Zr: 0.0000 0.5000 0.0000
Zr: 0.5000 0.0000 0.0000
Zr: 0.5000 0.5000 0.5000
In: 0.2500 0.2500 0.7500
In: 0.2500 0.7500 0.2500
In: 0.7500 0.2500 0.2500
In: 0.7500 0.7500 0.7500
Ga: 0.2500 0.2500 0.2500
Ga: 0.2500 0.7500 0.7500
Ga: 0.7500 0.2500 0.7500
Ga: 0.7500 0.7500 0.2500

## Properties
For the magnetization, the calculation gives 0.00 μB per formula unit. As for the uncorrected energy: -80.9 eV/cell. Its theoretical density is 8.02 g/cm3. The value obtained for the formation energy is -0.329 eV per atom. As for the symmetry: F-43m.